First-principles (PBE) data for an optimized crystal structure of Li2Tl4P, as listed in Alexandria via LeMat-Bulk.

a = 5.6346 Å, b = 5.6346 Å, c = 13.7063 Å
α = 90.00°, β = 90.00°, γ = 90.00°
Element x y z (fractional)
Li: 0.0000 0.0000 0.1058
Li: 0.0000 0.0000 0.8942
Li: 0.5000 0.5000 0.3942
Li: 0.5000 0.5000 0.6058
Tl: 0.0000 0.0000 0.3051
Tl: 0.0000 0.0000 0.6949
Tl: 0.0000 0.5000 0.0000
Tl: 0.0000 0.5000 0.5000
Tl: 0.5000 0.0000 0.0000
Tl: 0.5000 0.0000 0.5000
Tl: 0.5000 0.5000 0.1949
Tl: 0.5000 0.5000 0.8051
P: 0.0000 0.0000 0.5000
P: 0.5000 0.5000 0.0000

Summary:
Energy of formation: 185 meV per atom


First-principles (PBE) data for an optimized crystal structure of LiTl2P, as listed in Alexandria via LeMat-Bulk.

a = 3.2350 Å, b = 4.2139 Å, c = 14.8959 Å
α = 90.00°, β = 90.00°, γ = 90.00°
Element x y z (fractional)
Li: 0.0000 0.0000 0.0000
Li: 0.5000 0.5000 0.5000
Tl: 0.0000 0.5000 0.1695
Tl: 0.0000 0.5000 0.8305
Tl: 0.5000 0.0000 0.3305
Tl: 0.5000 0.0000 0.6695
P: 0.0000 0.0000 0.5000
P: 0.5000 0.5000 0.0000

Summary:
Energy of formation: -60 meV per atom
ΔE to the lowest computed polymorph: 2.66 kcal/mol of atoms


First-principles (PBE) data for an optimized crystal structure of Li2TlP2, as listed in Alexandria via LeMat-Bulk.

a = 7.3744 Å, b = 7.3744 Å, c = 3.5779 Å
α = 90.00°, β = 90.00°, γ = 90.00°
Element x y z (fractional)
Li: 0.1604 0.3396 0.0000
Li: 0.3396 0.8396 0.0000
Li: 0.6604 0.1604 0.0000
Li: 0.8396 0.6604 0.0000
Tl: 0.0000 0.0000 0.5000
Tl: 0.5000 0.5000 0.5000
P: 0.1022 0.6022 0.5000
P: 0.3978 0.1022 0.5000
P: 0.6022 0.8978 0.5000
P: 0.8978 0.3978 0.5000

Summary:
Energy of formation: -257 meV per atom
ΔE to the lowest computed polymorph: 1.15 kcal/mol of atoms


First-principles (PBE) data for an optimized crystal structure of LiTl2P, as listed in Alexandria via LeMat-Bulk.

a = 7.2734 Å, b = 7.2734 Å, c = 7.2734 Å
α = 90.00°, β = 90.00°, γ = 90.00°
Element x y z (fractional)
Li: 0.0000 0.0000 0.0000
Li: 0.0000 0.5000 0.5000
Li: 0.5000 0.0000 0.5000
Li: 0.5000 0.5000 0.0000
Tl: 0.0000 0.0000 0.5000
Tl: 0.0000 0.5000 0.0000
Tl: 0.2500 0.2500 0.7500
Tl: 0.2500 0.7500 0.2500
Tl: 0.5000 0.0000 0.0000
Tl: 0.5000 0.5000 0.5000
Tl: 0.7500 0.2500 0.2500
Tl: 0.7500 0.7500 0.7500
P: 0.2500 0.2500 0.2500
P: 0.2500 0.7500 0.7500
P: 0.7500 0.2500 0.7500
P: 0.7500 0.7500 0.2500

Summary:
Energy of formation: 59 meV per atom
ΔE to the lowest computed polymorph: 5.40 kcal/mol of atoms


Question: Look up the energy of formation of the second one.
Answer: -60 meV per atom


Question: Which of these has the highest energy of formation?
Answer: Li2Tl4P